Entry 1:
Here is Y6Cd4Pb7 after structural relaxation from Alexandria via LeMat-Bulk. Energies are from PBE-GGA.

Values from the calculation:
ΔH_f (0 K): -0.116 eV per atom
M_tot: 0.0 Bohr magnetons per cell

Cell: 8.6892 8.6892 8.6892 Å, 109.47 109.47 109.47°
Last column: nearest neighbours and their distance in Å.
Positions (direct):
Y 0.0000 0.2950 0.2950  5 Pb 2.96-3.24
Y 0.0000 0.7050 0.7050  5 Pb 2.96-3.24
Y 0.2950 0.0000 0.2950  5 Pb 2.96-3.24
Y 0.2950 0.2950 0.0000  5 Pb 2.96-3.24
Y 0.7050 0.0000 0.7050  5 Pb 2.96-3.24
Y 0.7050 0.7050 0.0000  5 Pb 2.96-3.24
Cd 0.0000 0.0000 0.5000  6 Pb 3.55, 6 Y 3.58
Cd 0.0000 0.5000 0.0000  6 Pb 3.55, 6 Y 3.58
Cd 0.5000 0.0000 0.0000  6 Pb 3.55, 6 Y 3.58
Cd 0.5000 0.5000 0.5000  6 Pb 3.55, 6 Y 3.58
Pb 0.0000 0.0000 0.0000  6 Y 2.96
Pb 0.2500 0.5000 0.7500  4 Y 3.24, 4 Pb 3.55, 4 Cd 3.55
Pb 0.2500 0.7500 0.5000  4 Y 3.24, 4 Pb 3.55, 4 Cd 3.55
Pb 0.5000 0.2500 0.7500  4 Y 3.24, 4 Cd 3.55, 4 Pb 3.55
Pb 0.5000 0.7500 0.2500  4 Y 3.24, 4 Pb 3.55, 4 Cd 3.55
Pb 0.7500 0.2500 0.5000  4 Y 3.24, 4 Pb 3.55, 4 Cd 3.55
Pb 0.7500 0.5000 0.2500  4 Y 3.24, 4 Cd 3.55, 4 Pb 3.55

=====

Entry 2:
Here is Y2CdPb2 after structural relaxation from Alexandria via LeMat-Bulk. Energies are from PBE-GGA.

Values from the calculation:
Energy above the lowest structure with this stoichiometry: 0.3680 eV per atom
ΔH_f (0 K): -0.015 eV per atom
M_tot: 0.0 Bohr magnetons per cell

Cell: 6.3957 6.3957 6.3957 Å, 124.43 124.43 82.49°
Last column: nearest neighbours and their distance in Å.
Positions (direct):
Y 0.2500 0.7500 0.5000  4 Pb 3.09
Y 0.7500 0.2500 0.5000  4 Pb 3.09
Cd 0.0000 0.0000 0.0000  2 Pb 3.21
Pb 0.3339 0.3339 0.0000  4 Y 3.09, 1 Pb 3.20, 1 Cd 3.21
Pb 0.6661 0.6661 0.0000  4 Y 3.09, 1 Pb 3.20, 1 Cd 3.21

=====

Entry 3:
Here is Y2CdPb after structural relaxation from Alexandria via LeMat-Bulk. Energies are from PBE-GGA.

Values from the calculation:
ΔH_f (0 K): -0.129 eV per atom
M_tot: 0.0 Bohr magnetons per cell

Cell: 6.8309 6.8309 6.8309 Å, 105.23 105.23 118.34°
Last column: nearest neighbours and their distance in Å.
Positions (direct):
Y 0.1216 0.6250 0.9966  2 Cd 3.04, 2 Pb 3.08
Y 0.3750 0.3716 0.4966  2 Cd 3.04, 2 Pb 3.08
Y 0.6284 0.1250 0.0034  2 Cd 3.04, 2 Pb 3.08
Y 0.8750 0.8784 0.5034  2 Cd 3.04, 2 Pb 3.08
Cd 0.0000 0.0000 0.0000  4 Y 3.04
Cd 0.7500 0.2500 0.5000  4 Y 3.04
Pb 0.2500 0.7500 0.5000  4 Y 3.08
Pb 0.5000 0.5000 0.0000  4 Y 3.08